1.
Here is a relaxed Ac3Sm crystal from Alexandria via LeMat-Bulk. Energies are from PBE.

a b c (Å): 4.5696 4.5696 18.0065
angles (deg): 90.00 90.00 90.00
Fractional positions:
Ac 0.0000 0.0000 0.0000
Ac 0.0000 0.0000 0.3186
Ac 0.0000 0.0000 0.6814
Ac 0.5000 0.5000 0.1814
Ac 0.5000 0.5000 0.5000
Ac 0.5000 0.5000 0.8186
Sm 0.0000 0.0000 0.5000
Sm 0.5000 0.5000 0.0000

Computed properties:
ΔE to the lowest computed polymorph in eV per atom: 0.573
Space group: I4/mmm
Formation enthalpy at 0 K in eV per atom: 0.60

***

2.
Here is a relaxed AsPdPt crystal from Alexandria via LeMat-Bulk. Energies are from PBE.

a b c (Å): 5.2877 4.7329 8.6015
angles (deg): 90.00 91.37 90.00
Fractional positions:
As 0.2430 0.0141 0.2020
As 0.2430 0.4859 0.7020
As 0.7570 0.5141 0.2980
As 0.7570 0.9859 0.7980
Pd 0.3982 0.7450 0.4355
Pd 0.3982 0.7550 0.9355
Pd 0.6018 0.2450 0.0645
Pd 0.6018 0.2550 0.5645
Pt 0.0977 0.2492 0.9379
Pt 0.0977 0.2508 0.4379
Pt 0.9023 0.7492 0.5621
Pt 0.9023 0.7508 0.0621

Computed properties:
Space group: P2_1/c
Formation enthalpy at 0 K in eV per atom: -0.24

***

3.
Here is a relaxed Ni5H7Pd crystal from Alexandria via LeMat-Bulk. Energies are from PBE.

a b c (Å): 2.6807 15.0311 4.5154
angles (deg): 90.00 106.49 90.00
Fractional positions:
Ni 0.0000 0.0000 0.0000
Ni 0.0000 0.5000 0.0000
Ni 0.2743 0.0763 0.5462
Ni 0.2743 0.4237 0.5462
Ni 0.4493 0.6481 0.9100
Ni 0.4493 0.8519 0.9100
Ni 0.5507 0.1481 0.0900
Ni 0.5507 0.3519 0.0900
Ni 0.7257 0.5763 0.4538
Ni 0.7257 0.9237 0.4538
H 0.0871 0.6055 0.1777
H 0.0871 0.8945 0.1777
H 0.1645 0.1723 0.3327
H 0.1645 0.3277 0.3327
H 0.3599 0.5359 0.7228
H 0.3599 0.9641 0.7228
H 0.4764 0.2500 0.9348
H 0.5236 0.7500 0.0652
H 0.6401 0.0359 0.2772
H 0.6401 0.4641 0.2772
H 0.8355 0.6723 0.6673
H 0.8355 0.8277 0.6673
H 0.9129 0.1055 0.8223
H 0.9129 0.3945 0.8223
Pd 0.1662 0.7500 0.3769
Pd 0.8338 0.2500 0.6231

Computed properties:
Final energy in eV/atom: -4.458
Space group: P2_1/m

***

4.
Here is a relaxed TaSbSe4 crystal from Alexandria via LeMat-Bulk. Energies are from PBE.

a b c (Å): 7.5594 7.5594 7.5594
angles (deg): 106.68 106.68 115.21
Fractional positions:
Ta 0.0000 0.0000 0.0000
Ta 0.7500 0.2500 0.5000
Sb 0.2457 0.7457 0.5000
Sb 0.4957 0.4957 0.0000
Se 0.0147 0.2138 0.8009
Se 0.4129 0.2138 0.1991
Se 0.5117 0.1975 0.6858
Se 0.5117 0.8258 0.3142
Se 0.5758 0.7617 0.8142
Se 0.9475 0.7617 0.1858
Se 0.9638 0.2647 0.3009
Se 0.9638 0.6629 0.6991

Computed properties:
ΔE to the lowest computed polymorph in eV per atom: 0.140
Space group: I4_1md
Formation energy without anion corrections in eV/atom: -0.37

***

5.
Here is a relaxed SiMoH2 crystal from Alexandria via LeMat-Bulk. Energies are from PBE.

a b c (Å): 5.2041 5.2041 5.2041
angles (deg): 90.00 90.00 90.00
Fractional positions:
Si 0.0000 0.0000 0.0000
Si 0.0000 0.5000 0.5000
Si 0.5000 0.0000 0.5000
Si 0.5000 0.5000 0.0000
Mo 0.0000 0.0000 0.5000
Mo 0.0000 0.5000 0.0000
Mo 0.5000 0.0000 0.0000
Mo 0.5000 0.5000 0.5000
H 0.2500 0.2500 0.2500
H 0.2500 0.2500 0.7500
H 0.2500 0.7500 0.2500
H 0.2500 0.7500 0.7500
H 0.7500 0.2500 0.2500
H 0.7500 0.2500 0.7500
H 0.7500 0.7500 0.2500
H 0.7500 0.7500 0.7500

Computed properties:
ΔE to the lowest computed polymorph in eV per atom: 0.261
Space group: Fm-3m

***

6.
Here is a relaxed Al2TeSe crystal from Alexandria via LeMat-Bulk. Energies are from PBE.

a b c (Å): 4.9702 4.9702 3.4555
angles (deg): 90.00 90.00 90.00
Fractional positions:
Al 0.0000 0.5000 0.0000
Al 0.5000 0.0000 0.0000
Te 0.0000 0.0000 0.5000
Se 0.5000 0.5000 0.5000

Computed properties:
ΔE to the lowest computed polymorph in eV per atom: 0.401
Space group: P4/mmm
Formation energy without anion corrections in eV/atom: 0.05